Version A
DFT (GGA-PBE) results for a relaxed Cd3CuGe crystal.

M_tot (μB per formula unit): 0.00

Geometry as extended XYZ:
```
5
Lattice="4.9486 0.0000 0.0000 0.0000 4.9486 0.0000 0.0000 0.0000 4.9486" Properties=species:S:1:pos:R:3 pbc="T T T"
Cd 0.0000 0.0000 2.4743
Cd 0.0000 2.4743 0.0000
Cd 2.4743 0.0000 0.0000
Cu 0.0000 0.0000 0.0000
Ge 2.4743 2.4743 2.4743
```

Version B
DFT (GGA-PBE) results for a relaxed Cd3CuGe crystal.

M_tot (μB per formula unit): 0.00

Geometry as extended XYZ:
```
5
Lattice="5.2203 0.0000 0.0000 0.0000 5.2203 0.0000 0.0000 0.0000 5.2203" Properties=species:S:1:pos:R:3 pbc="T T T"
Cd 0.0000 0.0000 2.6102
Cd 0.0000 2.6102 0.0000
Cd 2.6102 0.0000 0.0000
Cu 2.6102 2.6102 2.6102
Ge 0.0000 0.0000 0.0000
```

Least stable of them? version B.

Version A
DFT (GGA-PBE) results for a relaxed CdCuGe2Rh crystal.

M_tot (μB per formula unit): 0.00

Geometry as extended XYZ:
```
5
Lattice="4.5223 0.0000 0.0000 0.0000 4.5223 0.0000 0.0000 0.0000 4.8751" Properties=species:S:1:pos:R:3 pbc="T T T"
Cd 0.0000 0.0000 0.0000
Cu 0.0000 0.0000 2.4376
Ge 0.0000 2.2611 2.4376
Ge 2.2611 0.0000 2.4376
Rh 2.2611 2.2611 0.0000
```

Version B
DFT (GGA-PBE) results for a relaxed CdCuGe2Rh crystal.

M_tot (μB per formula unit): 0.00

Geometry as extended XYZ:
```
5
Lattice="4.6813 0.0000 0.0000 0.0000 4.6813 0.0000 0.0000 0.0000 5.2317" Properties=species:S:1:pos:R:3 pbc="T T T"
Cd 0.0000 0.0000 0.0000
Cu 2.3407 2.3407 0.0000
Ge 0.0000 2.3407 2.6159
Ge 2.3407 0.0000 2.6159
Rh 0.0000 0.0000 2.6159
```

Least stable of them? version A.

Version A
DFT (GGA-PBE) results for a relaxed CdCu2H crystal.

M_tot (μB per formula unit): 0.00

Geometry as extended XYZ:
```
4
Lattice="1.4329 0.8273 6.6825 -1.4329 0.8273 6.6825 0.0000 -1.6546 6.6825" Properties=species:S:1:pos:R:3 pbc="T T T"
Cd 0.0000 0.0000 0.0000
Cu 0.0000 0.0000 4.3720
Cu 0.0000 0.0000 15.6757
H 0.0000 0.0000 10.0238
```

Version B
DFT (GGA-PBE) results for a relaxed CdCu2H crystal.

M_tot (μB per formula unit): 0.00

Geometry as extended XYZ:
```
4
Lattice="0.0000 3.0139 3.0139 3.0139 0.0000 3.0139 3.0139 3.0139 0.0000" Properties=species:S:1:pos:R:3 pbc="T T T"
Cd 0.0000 0.0000 0.0000
Cu 1.5070 1.5070 1.5070
Cu 4.5209 4.5209 4.5209
H 3.0139 3.0139 3.0139
```

Version C
DFT (GGA-PBE) results for a relaxed CdCu2H crystal.

M_tot (μB per formula unit): 0.00

Geometry as extended XYZ:
```
8
Lattice="-2.6242 2.6242 3.6909 2.6242 -2.6242 3.6909 2.6242 2.6242 -3.6909" Properties=species:S:1:pos:R:3 pbc="T T T"
Cd 0.0000 0.0000 0.0000
Cd 0.0000 2.6242 1.8455
Cu 1.3121 -0.2464 2.7682
Cu 2.3778 1.3121 0.9227
Cu 1.3121 2.8706 -0.9227
Cu 0.2464 1.3121 4.6136
H 2.6242 0.0000 1.8455
H 0.0000 0.0000 3.6909
```

Least stable of them? version B.

Version A
DFT (GGA-PBE) results for a relaxed CdCuH2 crystal.

M_tot (μB per formula unit): 0.00

Geometry as extended XYZ:
```
8
Lattice="-2.2927 2.2927 4.3568 2.2927 -2.2927 4.3568 2.2927 2.2927 -4.3568" Properties=species:S:1:pos:R:3 pbc="T T T"
Cd 0.0000 0.0000 0.0000
Cd 0.0000 2.2927 2.1784
Cu 2.2927 0.0000 2.1784
Cu 0.0000 0.0000 4.3568
H 1.1464 -0.5182 3.2676
H 1.7745 1.1464 1.0892
H 1.1464 2.8110 -1.0892
H 0.5182 1.1464 5.4460
```

Version B
DFT (GGA-PBE) results for a relaxed CdCuH2 crystal.

M_tot (μB per formula unit): 0.00

Geometry as extended XYZ:
```
4
Lattice="0.0000 2.7681 2.7681 2.7681 0.0000 2.7681 2.7681 2.7681 0.0000" Properties=species:S:1:pos:R:3 pbc="T T T"
Cd 0.0000 0.0000 0.0000
Cu 2.7681 2.7681 2.7681
H 1.3841 1.3841 1.3841
H 4.1522 4.1522 4.1522
```

Least stable of them? version B.

Version A
DFT (GGA-PBE) results for a relaxed Cd3CuH crystal.

M_tot (μB per formula unit): 0.00

Geometry as extended XYZ:
```
5
Lattice="4.3871 0.0000 0.0000 0.0000 4.3871 0.0000 0.0000 0.0000 4.3871" Properties=species:S:1:pos:R:3 pbc="T T T"
Cd 0.0000 0.0000 2.1936
Cd 0.0000 2.1936 0.0000
Cd 2.1936 0.0000 0.0000
Cu 2.1936 2.1936 2.1936
H 0.0000 0.0000 0.0000
```

Version B
DFT (GGA-PBE) results for a relaxed Cd3CuH crystal.

M_tot (μB per formula unit): 0.34

Geometry as extended XYZ:
```
5
Lattice="5.0389 0.0000 0.0000 0.0000 5.0389 0.0000 0.0000 0.0000 5.0389" Properties=species:S:1:pos:R:3 pbc="T T T"
Cd 0.0000 0.0000 2.5194
Cd 0.0000 2.5194 0.0000
Cd 2.5194 0.0000 0.0000
Cu 0.0000 0.0000 0.0000
H 2.5194 2.5194 2.5194
```

Least stable of them? version B.

Version A
DFT (GGA-PBE) results for a relaxed CdIn2CuH crystal.

M_tot (μB per formula unit): 0.00

Geometry as extended XYZ:
```
5
Lattice="5.5457 0.0000 0.0000 0.0000 5.5457 0.0000 0.0000 0.0000 3.2297" Properties=species:S:1:pos:R:3 pbc="T T T"
Cd 0.0000 0.0000 0.0000
In 0.0000 2.7728 1.6148
In 2.7728 0.0000 1.6148
Cu 2.7728 2.7728 1.6148
H 2.7728 2.7728 0.0000
```

Version B
DFT (GGA-PBE) results for a relaxed CdIn2CuH crystal.

M_tot (μB per formula unit): 0.00

Geometry as extended XYZ:
```
5
Lattice="5.6007 0.0000 0.0000 0.0000 5.6007 0.0000 0.0000 0.0000 4.8979" Properties=species:S:1:pos:R:3 pbc="T T T"
Cd 0.0000 0.0000 0.0000
In 0.0000 2.8004 0.0000
In 2.8004 0.0000 0.0000
Cu 0.0000 0.0000 2.4490
H 2.8004 2.8004 2.4490
```

Least stable of them? version B.